Record 1
Below is crystalline KY2P at its relaxed geometry, with properties calculated at the PBE level.

Properties
**Electronic total energy**: -20.9 eV/cell
**Spin magnetization**: 0.006 μB per atom
**Formation enthalpy at 0 K**: -34.73 kJ per mole of atoms

abc: 6.570 6.570 6.922
angles: 118.75 118.75 32.35
Element x y z (fractional)
K (0.000, 0.000, 0.000)
Y (0.658, 0.658, 0.657)
Y (0.837, 0.837, 0.323)
P (0.259, 0.259, 0.991)

=====

Record 2
Below is crystalline KY3P at its relaxed geometry, with properties calculated at the PBE level.

Properties
**Electronic total energy**: -26.9 eV/cell
**Spin magnetization**: 0.000 μB per atom
**Formation enthalpy at 0 K**: -19.72 kJ per mole of atoms

abc: 5.521 5.521 5.521
angles: 90.00 90.00 90.00
Element x y z (fractional)
K (0.000, 0.000, 0.000)
Y (0.000, 0.500, 0.500)
Y (0.500, 0.000, 0.500)
Y (0.500, 0.500, 0.000)
P (0.500, 0.500, 0.500)

=====

Record 3
Below is crystalline KY2P at its relaxed geometry, with properties calculated at the PBE level.

Properties
**Electronic total energy**: -21.9 eV/cell
**Spin magnetization**: 0.000 μB per atom
**Formation enthalpy at 0 K**: -59.49 kJ per mole of atoms

abc: 3.941 3.941 10.775
angles: 100.42 100.42 60.00
Element x y z (fractional)
K (0.000, 0.000, 0.000)
Y (0.215, 0.215, 0.645)
Y (0.785, 0.785, 0.355)
P (0.500, 0.500, 0.500)

=====

Record 4
Below is crystalline KYP4 at its relaxed geometry, with properties calculated at the PBE level.

Properties
**Electronic total energy**: -29.5 eV/cell
**Spin magnetization**: 0.000 μB per atom
**Formation enthalpy at 0 K**: -4.26 kJ per mole of atoms

abc: 5.470 5.470 5.470
angles: 60.00 60.00 60.00
Element x y z (fractional)
K (0.000, 0.000, 0.000)
Y (0.250, 0.250, 0.250)
P (0.143, 0.619, 0.619)
P (0.619, 0.143, 0.619)
P (0.619, 0.619, 0.143)
P (0.619, 0.619, 0.619)

=====

Record 5
Below is crystalline KY4P2 at its relaxed geometry, with properties calculated at the PBE level.

Properties
**Electronic total energy**: -35.0 eV/cell
**Spin magnetization**: 0.000 μB per atom
**Formation enthalpy at 0 K**: 38.36 kJ per mole of atoms

abc: 8.021 8.021 8.021
angles: 139.36 139.36 58.83
Element x y z (fractional)
K (0.000, 0.000, 0.000)
Y (0.000, 0.500, 0.500)
Y (0.245, 0.245, 0.000)
Y (0.500, 0.000, 0.500)
Y (0.755, 0.755, 0.000)
P (0.426, 0.426, 0.000)
P (0.574, 0.574, 0.000)

=====

Record 6
Below is crystalline KY2P at its relaxed geometry, with properties calculated at the PBE level.

Properties
**Electronic total energy**: -19.3 eV/cell
**Spin magnetization**: 0.000 μB per atom
**Formation enthalpy at 0 K**: 3.82 kJ per mole of atoms

abc: 4.821 4.821 4.444
angles: 90.00 90.00 90.00
Element x y z (fractional)
K (0.000, 0.000, 0.000)
Y (0.000, 0.500, 0.500)
Y (0.500, 0.000, 0.500)
P (0.500, 0.500, 0.000)

=====

Record 7
Below is crystalline KY2P at its relaxed geometry, with properties calculated at the PBE level.

Properties
**Electronic total energy**: -19.1 eV/cell
**Spin magnetization**: 0.000 μB per atom
**Formation enthalpy at 0 K**: 7.92 kJ per mole of atoms

abc: 6.449 6.449 6.449
angles: 140.18 140.18 57.58
Element x y z (fractional)
K (0.000, 0.000, 0.000)
Y (0.500, 0.500, 0.000)
Y (0.750, 0.250, 0.500)
P (0.250, 0.750, 0.500)

=====

Record 8
Below is crystalline K6YP3 at its relaxed geometry, with properties calculated at the PBE level.

Properties
**Electronic total energy**: -30.6 eV/cell
**Spin magnetization**: 0.138 μB per atom
**Formation enthalpy at 0 K**: -12.43 kJ per mole of atoms

abc: 8.832 8.832 6.240
angles: 101.72 101.72 75.06
Element x y z (fractional)
K (0.070, 0.686, 0.655)
K (0.234, 0.234, 0.949)
K (0.314, 0.930, 0.345)
K (0.686, 0.070, 0.655)
K (0.766, 0.766, 0.051)
K (0.930, 0.314, 0.345)
Y (0.500, 0.500, 0.500)
P (0.000, 0.000, 0.000)
P (0.314, 0.314, 0.500)
P (0.686, 0.686, 0.500)

=====

> Look up the formation enthalpy at 0 K of the eighth one.

-12.43 kJ per mole of atoms

=====

Copy entry 3 word for word.
Below is crystalline KY2P at its relaxed geometry, with properties calculated at the PBE level.

Properties
**Electronic total energy**: -21.9 eV/cell
**Spin magnetization**: 0.000 μB per atom
**Formation enthalpy at 0 K**: -59.49 kJ per mole of atoms

abc: 3.941 3.941 10.775
angles: 100.42 100.42 60.00
Element x y z (fractional)
K (0.000, 0.000, 0.000)
Y (0.215, 0.215, 0.645)
Y (0.785, 0.785, 0.355)
P (0.500, 0.500, 0.500)

=====

Copy entry 4 word for word.
Below is crystalline KYP4 at its relaxed geometry, with properties calculated at the PBE level.

Properties
**Electronic total energy**: -29.5 eV/cell
**Spin magnetization**: 0.000 μB per atom
**Formation enthalpy at 0 K**: -4.26 kJ per mole of atoms

abc: 5.470 5.470 5.470
angles: 60.00 60.00 60.00
Element x y z (fractional)
K (0.000, 0.000, 0.000)
Y (0.250, 0.250, 0.250)
P (0.143, 0.619, 0.619)
P (0.619, 0.143, 0.619)
P (0.619, 0.619, 0.143)
P (0.619, 0.619, 0.619)

=====

> What is the formula in the second record?

KY3P